## Pu2NbNiN5 (PBE)

Data for an optimized crystal structure of Pu2NbNiN5.

a b c (Å): 3.242 6.573 10.099
angles (deg): 90.00 90.00 104.28
Fractional positions:
Pu1 0.859 0.718 0.806
Pu2 0.105 0.209 0.681
Pu3 0.141 0.282 0.306
Pu4 0.895 0.791 0.181
Nb1 0.802 0.603 0.510
Nb2 0.198 0.397 0.010
Ni1 0.522 0.044 0.957
Ni2 0.478 0.956 0.457
N1 0.367 0.734 0.996
N2 0.677 0.354 0.870
N3 0.487 0.974 0.774
N4 0.282 0.565 0.657
N5 0.951 0.901 0.573
N6 0.633 0.266 0.496
N7 0.323 0.646 0.370
N8 0.513 0.026 0.274
N9 0.718 0.435 0.157
N10 0.049 0.099 0.073

- formation energy (no corrections) (eV per atom) = -0.765

=====

## CsBa2AlBi (PBE)

Data for an optimized crystal structure of CsBa2AlBi.

a b c (Å): 6.771 7.328 6.771
angles (deg): 90.00 90.00 90.00
Fractional positions:
Cs1 0.000 0.500 0.000
Al1 0.500 0.500 0.500
Bi1 0.000 0.000 0.000
Ba1 0.000 0.000 0.500
Ba2 0.500 0.000 0.000

- electronic total energy (eV per atom) = -2.35

=====

## AsPtAu3 (PBE)

Data for an optimized crystal structure of AsPtAu3.

a b c (Å): 5.042 5.042 5.042
angles (deg): 90.00 90.00 90.00
Fractional positions:
As1 0.500 0.500 0.500
Au1 0.000 0.500 0.000
Au2 0.000 0.000 0.500
Au3 0.500 0.000 0.000
Pt1 0.000 0.000 0.000

- ΔE to the lowest computed polymorph (meV per atom) = 283

=====

## CuN2Cl3 (PBE)

Data for an optimized crystal structure of CuN2Cl3.

a b c (Å): 8.235 9.648 36.774
angles (deg): 146.78 161.73 48.80
Fractional positions:
Cu1 0.289 0.029 0.337
Cu2 0.711 0.971 0.663
N1 0.762 0.543 0.141
N2 0.193 0.251 0.333
N3 0.238 0.457 0.859
N4 0.807 0.749 0.667
Cl1 0.452 0.323 0.496
Cl2 0.590 0.796 0.043
Cl3 0.548 0.677 0.504
Cl4 0.410 0.204 0.957
Cl5 0.336 0.593 0.306
Cl6 0.664 0.407 0.694

- formation energy (no corrections) (eV per atom) = 0.735

=====

## Re2SiPb (PBE)

Data for an optimized crystal structure of Re2SiPb.

a b c (Å): 8.965 8.965 8.965
angles (deg): 19.61 19.61 19.61
Fractional positions:
Pb1 0.749 0.749 0.749
Re1 0.990 0.990 0.990
Re2 0.247 0.247 0.247
Si1 0.514 0.514 0.514

- formation energy (no corrections) (eV per atom) = 0.508
- ΔE to the lowest computed polymorph (meV per atom) = 159

=====

## SrMg2Pd (PBE)

Data for an optimized crystal structure of SrMg2Pd.

a b c (Å): 5.101 5.101 5.101
angles (deg): 60.00 60.00 60.00
Fractional positions:
Sr1 0.000 0.000 0.000
Mg1 0.250 0.250 0.250
Mg2 0.750 0.750 0.750
Pd1 0.500 0.500 0.500

- electronic total energy (eV per atom) = -2.67